# PBE-GGA La7Te4P4, relaxed
# calculated density = 5.85 g/cm³
# total magnetization = 2.3 μB per cell
# calculated total energy = -361.328 eV per cell
# raw formation energy = -1.442 eV per atom
data_La7Te4P4
_symmetry_space_group_name_H-M 'I 4/m m m'
_symmetry_Int_Tables_number 139
_symmetry_space_group_name_Hall '-I 4 2'
_cell_length_a 15.502
_cell_length_b 15.502
_cell_length_c 7.587
_cell_angle_alpha 90.00
_cell_angle_beta 90.00
_cell_angle_gamma 90.00
loop_
_atom_site_label
_atom_site_type_symbol
_atom_site_fract_x
_atom_site_fract_y
_atom_site_fract_z
_atom_site_occupancy
La1 La 0.000 0.000 0.244 1
La2 La 0.000 0.285 0.000 1
La3 La 0.000 0.367 0.500 1
La4 La 0.213 0.213 0.500 1
Te1 Te 0.000 0.170 0.500 1
Te2 Te 0.128 0.128 0.000 1
P1 P 0.144 0.356 0.250 1